Density functional theory data (PBE) for an optimized crystal structure of ScZnFeCu.

a = 4.3051 Å, b = 4.3051 Å, c = 4.3051 Å
α = 60.00°, β = 60.00°, γ = 60.00°
With the nearest neighbours (Å) after each atom.
Fractional coordinates of all 4 atoms:
Cu (0.5000, 0.5000, 0.5000)  4 Fe 2.64, 4 Zn 2.64
Fe (0.7500, 0.7500, 0.7500)  4 Sc 2.64, 4 Cu 2.64
Sc (0.0000, 0.0000, 0.0000)  4 Fe 2.64, 4 Zn 2.64
Zn (0.2500, 0.2500, 0.2500)  4 Sc 2.64, 4 Cu 2.64

Values from the calculation:
Energy above the lowest structure with this stoichiometry = 36 kJ/mol of formula units
SG = F-43m, No. 216

***

Density functional theory data (PBE) for an optimized crystal structure of TmBH8SO10.

a = 5.7931 Å, b = 6.6964 Å, c = 9.7171 Å
α = 79.72°, β = 76.97°, γ = 88.65°
With the nearest neighbours (Å) after each atom.
Fractional coordinates of all 42 atoms:
B (0.5846, 0.3325, 0.2677)  4 O 1.46-1.50
B (0.4154, 0.6675, 0.7323)  4 O 1.46-1.50
H (0.4328, 0.2585, 0.0088)  1 O 0.99
H (0.2590, 0.0138, 0.0194)  1 O 0.99
H (0.7630, 0.5898, 0.0423)  1 O 1.01
H (0.7825, 0.2582, 0.0798)  1 O 1.01
H (0.1799, 0.8016, 0.1196)  1 O 0.99
H (0.4679, 0.6200, 0.2874)  1 O 0.99
H (0.4966, 0.0231, 0.3006)  1 O 0.99
H (0.5875, 0.2758, 0.4848)  1 O 0.99
H (0.4125, 0.7242, 0.5152)  1 O 0.99
H (0.5034, 0.9769, 0.6994)  1 O 0.99
H (0.5321, 0.3800, 0.7126)  1 O 0.99
H (0.8201, 0.1984, 0.8804)  1 O 0.99
H (0.2175, 0.7418, 0.9202)  1 O 1.01
H (0.2370, 0.4102, 0.9577)  1 O 1.01
H (0.7410, 0.9862, 0.9806)  1 O 0.99
H (0.5672, 0.7415, 0.9912)  1 O 0.99
O (0.2869, 0.8667, 0.0284)  2 H 0.99
O (0.2619, 0.2916, 0.0322)  2 H 0.99-1.01
O (0.7950, 0.3606, 0.1429)  1 H 1.01
O (0.9826, 0.6559, 0.2499)  1 S 1.49
O (0.4203, 0.5021, 0.2518)  1 H 0.99
O (0.4342, 0.1590, 0.2712)  1 H 0.99
O (0.9750, 0.9968, 0.2863)  1 S 1.47
O (0.6086, 0.7996, 0.3543)  1 S 1.49, 1 H 1.66
O (0.6940, 0.3208, 0.3900)  1 H 0.99
O (0.9126, 0.7242, 0.4915)  1 S 1.46
O (0.0874, 0.2758, 0.5085)  1 S 1.46
O (0.3060, 0.6792, 0.6100)  1 H 0.99
O (0.3914, 0.2004, 0.6457)  1 S 1.49, 1 H 1.66
O (0.0250, 0.0032, 0.7137)  1 S 1.47
O (0.5658, 0.8410, 0.7288)  1 H 0.99
O (0.5797, 0.4979, 0.7482)  1 H 0.99
O (0.0174, 0.3441, 0.7501)  1 S 1.49
O (0.2050, 0.6394, 0.8571)  1 H 1.01
O (0.7381, 0.7084, 0.9678)  2 H 0.99-1.01
O (0.7131, 0.1333, 0.9716)  2 H 0.99
S (0.8684, 0.7944, 0.3487)  4 O 1.46-1.49
S (0.1316, 0.2056, 0.6513)  4 O 1.46-1.49
Tm (0.0832, 0.3177, 0.2753)  8 O 2.23-2.39
Tm (0.9168, 0.6823, 0.7247)  8 O 2.23-2.39

Values from the calculation:
SG = P-1, No. 2

***

Density functional theory data (PBE) for an optimized crystal structure of K2AgAuBr6.

a = 7.6477 Å, b = 7.6477 Å, c = 7.6477 Å
α = 60.00°, β = 60.00°, γ = 60.00°
With the nearest neighbours (Å) after each atom.
Fractional coordinates of all 10 atoms:
Ag (0.0000, 0.0000, 0.0000)  6 Br 2.73
Au (0.5000, 0.5000, 0.5000)  6 Br 2.68
Br (0.7479, 0.2521, 0.2521)  1 Au 2.68, 1 Ag 2.73
Br (0.2521, 0.7479, 0.2521)  1 Au 2.68, 1 Ag 2.73
Br (0.7479, 0.7479, 0.2521)  1 Au 2.68, 1 Ag 2.73
Br (0.2521, 0.2521, 0.7479)  1 Au 2.68, 1 Ag 2.73
Br (0.7479, 0.2521, 0.7479)  1 Au 2.68, 1 Ag 2.73
Br (0.2521, 0.7479, 0.7479)  1 Au 2.68, 1 Ag 2.73
K (0.2500, 0.2500, 0.2500)  12 Br 3.82
K (0.7500, 0.7500, 0.7500)  12 Br 3.82

Values from the calculation:
SG = Fm-3m, No. 225

***

Density functional theory data (PBE) for an optimized crystal structure of HfNbFe2.

a = 4.3924 Å, b = 4.3924 Å, c = 4.3924 Å
α = 60.00°, β = 60.00°, γ = 60.00°
With the nearest neighbours (Å) after each atom.
Fractional coordinates of all 4 atoms:
Fe (0.0000, 0.0000, 0.0000)  4 Fe 2.69, 4 Nb 2.69
Fe (0.2500, 0.2500, 0.2500)  4 Hf 2.69, 4 Fe 2.69
Hf (0.5000, 0.5000, 0.5000)  4 Nb 2.69, 4 Fe 2.69
Nb (0.7500, 0.7500, 0.7500)  4 Hf 2.69, 4 Fe 2.69

Values from the calculation:
SG = F-43m, No. 216

***

In order of appearance, electronic total energy = -4.832 -5.991 -2.638 -9.094 eV per atom.